# PBEsol ZrTePdI2, relaxed
data_ZrTePdI2
_chemical_formula_sum 'Zr1 Te1 Pd1 I2'
_symmetry_space_group_name_H-M 'P 1'
_symmetry_Int_Tables_number 1
_cell_length_a 5.510
_cell_length_b 5.584
_cell_length_c 5.584
_cell_angle_alpha 90.00
_cell_angle_beta 90.00
_cell_angle_gamma 90.00
loop_
_symmetry_equiv_pos_as_xyz
'x,y,z'
loop_
_atom_site_label
_atom_site_type_symbol
_atom_site_fract_x
_atom_site_fract_y
_atom_site_fract_z
I1 I 0.000 0.000 0.500
I2 I 0.000 0.500 0.000
Te1 Te 0.500 0.000 0.000
Zr1 Zr 0.000 0.000 0.000
Pd1 Pd 0.500 0.500 0.500
# E_form (uncorrected)	194	meV per atom
# symmetry	P4/mmm
# theoretical density	5.597	Mg/m³